[1]
Compound: Sr2CrIr
Source: Alexandria via LeMat-Bulk
Functional: PBE
Structure: relaxed

Cell lengths 4.2351, 5.4497, 9.6492 Å; angles 90.00, 90.00, 90.00 degrees
Space group Imm2 (No. 44)
Unique sites:
Sr (0.0000, 0.0000, 0.0000) (multiplicity 2)
Sr (0.0000, 0.5000, 0.1984) (multiplicity 2)
Cr (0.0000, 0.5000, 0.7993) (multiplicity 2)
Ir (0.0000, 0.0000, 0.4008) (multiplicity 2)

Formation energy = 0.235 eV/atom
DFT total energy = -5.227 eV/atom
Energy above the lowest structure with this stoichiometry = 118.3 meV per atom



[2]
Compound: Sr2CrIr
Source: Alexandria via LeMat-Bulk
Functional: PBE
Structure: relaxed

Cell lengths 7.4880, 7.4880, 7.4880 Å; angles 90.00, 90.00, 90.00 degrees
Space group Fm-3m (No. 225)
Unique sites:
Sr (0.2500, 0.2500, 0.2500) (multiplicity 8)
Cr (0.0000, 0.0000, 0.0000) (multiplicity 4)
Ir (0.0000, 0.0000, 0.5000) (multiplicity 4)

Formation energy = 0.399 eV/atom
DFT total energy = -5.063 eV/atom
Energy above the lowest structure with this stoichiometry = 282.2 meV per atom



[3]
Compound: Sr2CrIr
Source: Alexandria via LeMat-Bulk
Functional: PBE
Structure: relaxed

Cell lengths 4.9871, 4.9871, 4.1797 Å; angles 90.00, 90.00, 90.00 degrees
Space group P4/mmm (No. 123)
Unique sites:
Sr (0.0000, 0.5000, 0.0000) (multiplicity 2)
Cr (0.0000, 0.0000, 0.5000) (multiplicity 1)
Ir (0.5000, 0.5000, 0.5000) (multiplicity 1)

Formation energy = 0.455 eV/atom
DFT total energy = -5.007 eV/atom
Energy above the lowest structure with this stoichiometry = 337.9 meV per atom



Copy entry 3 word for word.
Compound: Sr2CrIr
Source: Alexandria via LeMat-Bulk
Functional: PBE
Structure: relaxed

Cell lengths 4.9871, 4.9871, 4.1797 Å; angles 90.00, 90.00, 90.00 degrees
Space group P4/mmm (No. 123)
Unique sites:
Sr (0.0000, 0.5000, 0.0000) (multiplicity 2)
Cr (0.0000, 0.0000, 0.5000) (multiplicity 1)
Ir (0.5000, 0.5000, 0.5000) (multiplicity 1)

Formation energy = 0.455 eV/atom
DFT total energy = -5.007 eV/atom
Energy above the lowest structure with this stoichiometry = 337.9 meV per atom



Which value of formation energy does entry 3 give? 0.455 eV/atom